No. 1
Entry from the Alexandria database: La15Y4Er after structural relaxation (PBE).

- Total energy: -5.210 eV per atom
- Symmetry: P4/mmm, No. 123
- Formation enthalpy at 0 K: 6 meV/atom
- Calculated density: 6.105 g/cm3
- Crystal system: tetragonal

abc: 5.2148 5.2148 26.0709
angles: 90.00 90.00 90.00
With the nearest neighbours (Å) after each atom.
Fractional positions:
La (0.0000, 0.0000, 0.0000)  8 La 3.68, 4 Er 3.69
La (0.0000, 0.0000, 0.1996)  4 Y 3.69, 8 La 3.69
La (0.0000, 0.0000, 0.3998)  4 Y 3.69, 8 La 3.69
La (0.0000, 0.0000, 0.6002)  4 Y 3.69, 8 La 3.69
La (0.0000, 0.0000, 0.8004)  4 Y 3.69, 8 La 3.69
La (0.0000, 0.5000, 0.0994)  2 Er 3.68, 8 La 3.68-3.69, 2 Y 3.69
La (0.0000, 0.5000, 0.2998)  8 La 3.69, 4 Y 3.69
La (0.0000, 0.5000, 0.5000)  8 La 3.69, 4 Y 3.69
La (0.0000, 0.5000, 0.7002)  8 La 3.69, 4 Y 3.69
La (0.0000, 0.5000, 0.9006)  2 Er 3.68, 8 La 3.68-3.69, 2 Y 3.69
La (0.5000, 0.0000, 0.0994)  2 Er 3.68, 8 La 3.68-3.69, 2 Y 3.69
La (0.5000, 0.0000, 0.2998)  8 La 3.69, 4 Y 3.69
La (0.5000, 0.0000, 0.5000)  8 La 3.69, 4 Y 3.69
La (0.5000, 0.0000, 0.7002)  8 La 3.69, 4 Y 3.69
La (0.5000, 0.0000, 0.9006)  2 Er 3.68, 8 La 3.68-3.69, 2 Y 3.69
Y (0.5000, 0.5000, 0.1997)  12 La 3.69
Y (0.5000, 0.5000, 0.3999)  12 La 3.69
Y (0.5000, 0.5000, 0.6001)  12 La 3.69
Y (0.5000, 0.5000, 0.8003)  12 La 3.69
Er (0.5000, 0.5000, 0.0000)  12 La 3.68-3.69

---

No. 2
Entry from the Alexandria database: La2Y6Er5 after structural relaxation (PBE).

- Total energy: -5.391 eV per atom
- Symmetry: Pbam, No. 55
- Formation enthalpy at 0 K: 105 meV/atom
- Calculated density: 6.374 g/cm3
- Crystal system: orthorhombic

abc: 11.7860 20.2588 3.5953
angles: 90.00 90.00 90.00
With the nearest neighbours (Å) after each atom.
Fractional positions:
La (0.1633, 0.2185, 0.0000)  3 Y 3.45-3.70, 4 Er 3.55-3.57, 2 La 3.60
La (0.3367, 0.7185, 0.0000)  3 Y 3.45-3.70, 4 Er 3.55-3.57, 2 La 3.60
La (0.6633, 0.2815, 0.0000)  3 Y 3.45-3.70, 4 Er 3.55-3.57, 2 La 3.60
La (0.8367, 0.7815, 0.0000)  3 Y 3.45-3.70, 4 Er 3.55-3.57, 2 La 3.60
Y (0.0574, 0.9227, 0.0000)  5 Y 3.41-3.70, 6 Er 3.45-3.57
Y (0.0814, 0.6355, 0.0000)  6 Er 3.42-3.58, 1 La 3.45, 4 Y 3.57-3.60
Y (0.1791, 0.3779, 0.5000)  2 Er 3.25-3.30, 4 Y 3.57-3.60
Y (0.3209, 0.8779, 0.5000)  2 Er 3.25-3.30, 4 Y 3.57-3.60
Y (0.4186, 0.1355, 0.0000)  6 Er 3.42-3.58, 1 La 3.45, 4 Y 3.57-3.60
Y (0.4426, 0.4227, 0.0000)  5 Y 3.41-3.70, 6 Er 3.45-3.57
Y (0.5574, 0.5773, 0.0000)  5 Y 3.41-3.70, 6 Er 3.45-3.57
Y (0.5814, 0.8645, 0.0000)  6 Er 3.42-3.58, 1 La 3.45, 4 Y 3.57-3.60
Y (0.6791, 0.1221, 0.5000)  2 Er 3.25-3.30, 4 Y 3.57-3.60
Y (0.8209, 0.6221, 0.5000)  2 Er 3.25-3.30, 4 Y 3.57-3.60
Y (0.9186, 0.3645, 0.0000)  6 Er 3.42-3.58, 1 La 3.45, 4 Y 3.57-3.60
Y (0.9426, 0.0773, 0.0000)  5 Y 3.41-3.70, 6 Er 3.45-3.57
Er (0.0000, 0.5000, 0.5000)  6 Y 3.25-3.42, 2 Er 3.60
Er (0.0985, 0.7793, 0.5000)  5 Y 3.30-3.45, 4 La 3.55-3.57, 2 Er 3.60
Er (0.2003, 0.0504, 0.5000)  7 Y 3.57-3.77, 3 Er 3.60-3.68, 2 La 3.88
Er (0.2997, 0.5504, 0.5000)  7 Y 3.57-3.77, 3 Er 3.60-3.68, 2 La 3.88
Er (0.4015, 0.2793, 0.5000)  5 Y 3.30-3.45, 4 La 3.55-3.57, 2 Er 3.60
Er (0.5000, 0.0000, 0.5000)  6 Y 3.25-3.42, 2 Er 3.60
Er (0.5985, 0.7207, 0.5000)  5 Y 3.30-3.45, 4 La 3.55-3.57, 2 Er 3.60
Er (0.7003, 0.4496, 0.5000)  7 Y 3.57-3.77, 3 Er 3.60-3.68, 2 La 3.88
Er (0.7997, 0.9496, 0.5000)  7 Y 3.57-3.77, 3 Er 3.60-3.68, 2 La 3.88
Er (0.9015, 0.2207, 0.5000)  5 Y 3.30-3.45, 4 La 3.55-3.57, 2 Er 3.60

---

No. 3
Entry from the Alexandria database: LaY8Er2 after structural relaxation (PBE).

- Total energy: -5.862 eV per atom
- Symmetry: Immm, No. 71
- Formation enthalpy at 0 K: 117 meV/atom
- Calculated density: 5.415 g/cm3
- Crystal system: orthorhombic

abc: 9.4433 9.4433 9.4433
angles: 146.09 128.58 63.03
With the nearest neighbours (Å) after each atom.
Fractional positions:
La (0.0000, 0.0000, 0.0000)  8 Y 3.32-3.67
Y (0.1513, 0.8580, 0.2933)  1 La 3.32, 3 Er 3.36-3.51, 6 Y 3.39-3.67
Y (0.1641, 0.6641, 0.5000)  2 Er 3.53, 8 Y 3.55-3.67, 2 La 3.82
Y (0.2966, 0.5000, 0.7966)  7 Y 3.33-3.59, 2 Er 3.61, 2 La 3.67
Y (0.4354, 0.1420, 0.2933)  1 La 3.32, 3 Er 3.36-3.51, 6 Y 3.39-3.67
Y (0.5646, 0.8580, 0.7067)  1 La 3.32, 3 Er 3.36-3.51, 6 Y 3.39-3.67
Y (0.7034, 0.5000, 0.2034)  7 Y 3.33-3.59, 2 Er 3.61, 2 La 3.67
Y (0.8359, 0.3359, 0.5000)  2 Er 3.53, 8 Y 3.55-3.67, 2 La 3.82
Y (0.8487, 0.1420, 0.7067)  1 La 3.32, 3 Er 3.36-3.51, 6 Y 3.39-3.67
Er (0.3011, 0.3011, 0.0000)  10 Y 3.36-3.61
Er (0.6989, 0.6989, 0.0000)  10 Y 3.36-3.61

---

No. 4
Entry from the Alexandria database: La8YEr4 after structural relaxation (PBE).

- Total energy: -4.522 eV per atom
- Symmetry: R-3m, No. 166
- Formation enthalpy at 0 K: 411 meV/atom
- Calculated density: 6.179 g/cm3
- Crystal system: trigonal

abc: 7.9492 7.9492 7.9492
angles: 90.05 90.05 90.05
With the nearest neighbours (Å) after each atom.
Fractional positions:
La (0.2391, 0.2391, 0.2391)  4 Er 3.29-3.50, 1 Y 3.59
La (0.2390, 0.2390, 0.7605)  4 Er 3.29-3.49, 1 Y 3.59
La (0.2390, 0.7605, 0.2390)  4 Er 3.29-3.49, 1 Y 3.59
La (0.2395, 0.7610, 0.7610)  4 Er 3.29-3.49, 1 Y 3.59
La (0.7605, 0.2390, 0.2390)  4 Er 3.29-3.49, 1 Y 3.59
La (0.7610, 0.2395, 0.7610)  4 Er 3.29-3.49, 1 Y 3.59
La (0.7610, 0.7610, 0.2395)  4 Er 3.29-3.49, 1 Y 3.59
La (0.7609, 0.7609, 0.7609)  4 Er 3.29-3.50, 1 Y 3.59
Y (0.5000, 0.5000, 0.5000)  8 La 3.59, 6 Er 3.97
Er (0.0000, 0.0000, 0.0000)  8 La 3.29
Er (0.0000, 0.5000, 0.5000)  8 La 3.49-3.50
Er (0.5000, 0.0000, 0.5000)  8 La 3.49-3.50
Er (0.5000, 0.5000, 0.0000)  8 La 3.49-3.50

---

No. 5
Entry from the Alexandria database: La6YEr3 after structural relaxation (PBE).

- Total energy: -4.780 eV per atom
- Symmetry: P2_1/c, No. 14
- Formation enthalpy at 0 K: 192 meV/atom
- Calculated density: 6.715 g/cm3
- Crystal system: monoclinic

abc: 6.0349 9.7071 13.4516
angles: 90.00 116.64 90.00
With the nearest neighbours (Å) after each atom.
Fractional positions:
La (0.0937, 0.1491, 0.0944)  4 La 3.50-3.76, 4 Er 3.53-3.89, 1 Y 3.59
La (0.0937, 0.3509, 0.5944)  4 La 3.50-3.76, 4 Er 3.53-3.89, 1 Y 3.59
La (0.3140, 0.0485, 0.7502)  2 Er 3.06-3.25, 1 Y 3.07
La (0.3140, 0.4515, 0.2502)  2 Er 3.06-3.25, 1 Y 3.07
La (0.4046, 0.1524, 0.4053)  4 La 3.47-3.78, 2 Y 3.54-3.55, 2 Er 3.56-3.63
La (0.4046, 0.3476, 0.9053)  4 La 3.47-3.78, 2 Y 3.54-3.55, 2 Er 3.56-3.63
La (0.5954, 0.6524, 0.0947)  4 La 3.47-3.78, 2 Y 3.54-3.55, 2 Er 3.56-3.63
La (0.5954, 0.8476, 0.5947)  4 La 3.47-3.78, 2 Y 3.54-3.55, 2 Er 3.56-3.63
La (0.6860, 0.5485, 0.7498)  2 Er 3.06-3.25, 1 Y 3.07
La (0.6860, 0.9515, 0.2498)  2 Er 3.06-3.25, 1 Y 3.07
La (0.9063, 0.6491, 0.4056)  4 La 3.50-3.76, 4 Er 3.53-3.89, 1 Y 3.59
La (0.9063, 0.8509, 0.9056)  4 La 3.50-3.76, 4 Er 3.53-3.89, 1 Y 3.59
Y (0.0000, 0.0000, 0.5000)  2 La 3.07
Y (0.0000, 0.5000, 0.0000)  2 La 3.07
Er (0.2078, 0.6995, 0.7521)  5 La 3.25-3.63
Er (0.2078, 0.8005, 0.2521)  5 La 3.25-3.63
Er (0.5000, 0.0000, 0.0000)  2 La 3.06
Er (0.5000, 0.5000, 0.5000)  2 La 3.06
Er (0.7922, 0.1995, 0.7479)  5 La 3.25-3.63
Er (0.7922, 0.3005, 0.2479)  5 La 3.25-3.63

---

No. 6
Entry from the Alexandria database: LaY4Er after structural relaxation (PBE).

- Total energy: -5.826 eV per atom
- Symmetry: C2/m, No. 12
- Formation enthalpy at 0 K: 65 meV/atom
- Calculated density: 5.613 g/cm3
- Crystal system: monoclinic

abc: 5.7034 5.7034 6.9480
angles: 90.01 90.01 119.98
With the nearest neighbours (Å) after each atom.
Fractional positions:
La (0.0000, 0.0000, 0.0000)  2 Er 3.47, 12 Y 3.74
Y (0.3327, 0.6658, 0.2556)  5 Y 3.29-3.55
Y (0.3342, 0.6673, 0.7444)  5 Y 3.29-3.55
Y (0.6658, 0.3327, 0.2556)  5 Y 3.29-3.55
Y (0.6673, 0.3342, 0.7444)  5 Y 3.29-3.55
Er (0.0000, 0.0000, 0.5000)  2 La 3.47, 12 Y 3.70-3.71

---

No. 7
Entry from the Alexandria database: La2YEr after structural relaxation (PBE).

- Total energy: -5.209 eV per atom
- Symmetry: R-3m, No. 166
- Formation enthalpy at 0 K: 11 meV/atom
- Calculated density: 6.539 g/cm3
- Crystal system: trigonal

abc: 11.8925 11.8925 11.8925
angles: 17.69 17.69 17.69
With the nearest neighbours (Å) after each atom.
Fractional positions:
La (0.2492, 0.2492, 0.2492)  3 Er 3.59, 3 Y 3.63, 6 La 3.66
La (0.7508, 0.7508, 0.7508)  3 Er 3.59, 3 Y 3.63, 6 La 3.66
Y (0.0000, 0.0000, 0.0000)  6 La 3.63, 6 Y 3.66
Er (0.5000, 0.5000, 0.5000)  6 La 3.59, 6 Er 3.66

---

No. 8
Entry from the Alexandria database: La2Y5Er4 after structural relaxation (PBE).

- Total energy: -5.442 eV per atom
- Symmetry: P-1, No. 2
- Formation enthalpy at 0 K: 51 meV/atom
- Calculated density: 6.398 g/cm3
- Crystal system: triclinic

abc: 3.5603 8.8961 11.6306
angles: 83.40 86.37 81.06
With the nearest neighbours (Å) after each atom.
Fractional positions:
La (0.1986, 0.0529, 0.3442)  4 Y 3.54-3.80, 3 Er 3.54-3.68, 3 La 3.56-3.87
La (0.8014, 0.9471, 0.6558)  4 Y 3.54-3.80, 3 Er 3.54-3.68, 3 La 3.56-3.87
Y (0.0000, 0.5000, 0.0000)  6 Er 3.43-3.56, 6 Y 3.51-3.70
Y (0.2101, 0.6694, 0.4718)  4 Y 3.40-3.56, 4 Er 3.41-3.75, 2 La 3.54-3.56
Y (0.3213, 0.8552, 0.9362)  6 Y 3.51-3.70, 4 Er 3.53-3.59, 2 La 3.65-3.80
Y (0.6787, 0.1448, 0.0638)  6 Y 3.51-3.70, 4 Er 3.53-3.59, 2 La 3.65-3.80
Y (0.7899, 0.3306, 0.5282)  4 Y 3.40-3.56, 4 Er 3.41-3.75, 2 La 3.54-3.56
Er (0.2011, 0.2325, 0.7969)  4 Er 3.45-3.56, 6 Y 3.50-3.75, 2 La 3.54-3.68
Er (0.4370, 0.4277, 0.2591)  5 Y 3.41-3.56, 4 Er 3.45-3.56, 1 La 3.58
Er (0.5630, 0.5723, 0.7409)  5 Y 3.41-3.56, 4 Er 3.45-3.56, 1 La 3.58
Er (0.7989, 0.7675, 0.2031)  4 Er 3.45-3.56, 6 Y 3.50-3.75, 2 La 3.54-3.68